! PBE NaLa2S, optimized geometry; values from VASP
&SYSTEM
  ibrav = 0, nat = 8, ntyp = 3
/
ATOMIC_SPECIES
Na 22.99 Na.upf
S 32.06 S.upf
La 138.91 La.upf
CELL_PARAMETERS angstrom
8.793 0.000 0.000
0.000 8.793 0.000
4.396 4.396 3.532
ATOMIC_POSITIONS angstrom
Na 4.396 4.396 0.000
Na 4.396 8.793 1.766
S 0.000 0.000 0.000
S 8.793 4.396 1.766
La 7.294 2.198 0.883
La 1.499 6.595 0.883
La 6.595 5.896 2.649
La 10.991 11.690 2.649
! **Energy relative to the elements, uncorrected**: -0.575 eV/atom
! **SG**: I-42d, No. 122
! **Crystal system**: tetragonal

! PBE Tl3Cd12Pb5, optimized geometry; values from VASP
&SYSTEM
  ibrav = 0, nat = 80, ntyp = 3
/
ATOMIC_SPECIES
Tl 204.38 Tl.upf
Pb 207.20 Pb.upf
Cd 112.41 Cd.upf
CELL_PARAMETERS angstrom
15.100 0.000 0.000
-5.033 14.237 0.000
-5.033 -7.118 12.329
ATOMIC_POSITIONS angstrom
Tl 8.809 4.449 1.541
Tl 8.809 9.788 1.541
Tl -1.258 6.229 7.706
Tl 1.258 -0.890 4.624
Tl 11.325 0.000 3.082
Tl 1.258 7.118 3.082
Tl 3.775 0.000 9.247
Tl -6.292 7.118 9.247
Tl 3.775 8.008 7.706
Tl 6.292 0.890 4.624
Tl -3.775 -2.669 10.788
Tl -3.775 2.669 10.788
Pb -1.258 3.559 3.082
Pb -2.517 7.118 0.000
Pb 0.000 0.000 0.000
Pb 3.775 2.669 1.541
Pb 5.033 -3.559 6.165
Pb 5.033 7.118 0.000
Pb -3.775 8.008 4.624
Pb 6.292 -4.449 10.788
Pb 6.292 6.229 4.624
Pb 1.258 -3.559 9.247
Pb 3.775 10.678 3.082
Pb 2.517 3.559 6.165
Pb 7.550 0.000 0.000
Pb -2.517 -3.559 6.165
Pb -1.258 0.890 7.706
Pb -1.258 11.567 1.541
Pb -5.033 3.559 6.165
Pb 8.809 -0.890 7.706
Pb 1.258 4.449 10.788
Pb 6.292 3.559 9.247
Cd 10.030 1.530 0.839
Cd 0.036 5.050 5.260
Cd 10.930 3.212 3.279
Cd 6.687 2.326 1.744
Cd 1.901 5.710 8.212
Cd 10.351 6.982 2.047
Cd -0.863 8.004 5.023
Cd -4.171 11.911 1.744
Cd 0.615 8.527 8.212
Cd 7.266 7.255 2.047
Cd 7.587 3.598 4.421
Cd 7.587 12.707 0.839
Cd -4.418 6.407 7.004
Cd 2.801 5.414 1.142
Cd -5.070 10.639 4.421
Cd 2.553 -2.068 7.070
Cd -0.615 0.698 2.886
Cd 2.801 8.960 0.905
Cd 6.687 11.025 3.279
Cd -0.284 5.277 0.905
Cd -3.132 7.816 9.443
Cd 3.380 6.232 5.023
Cd 6.935 7.829 7.004
Cd 5.318 -1.705 11.187
Cd 1.654 0.886 7.307
Cd -1.901 -0.711 5.326
Cd -0.284 8.823 1.142
Cd -1.654 -3.907 9.051
Cd 8.166 -0.698 2.886
Cd 5.317 1.841 11.424
Cd 2.233 -1.841 11.424
Cd 2.480 9.186 5.260
Cd 5.649 6.421 9.443
Cd 10.103 -3.521 7.909
Cd 9.452 0.711 5.326
Cd -2.553 -5.589 11.491
Cd 2.233 1.705 11.187
Cd 4.418 -1.409 4.117
Cd -2.233 -0.137 10.282
Cd -2.553 3.521 7.909
Cd 9.204 -4.793 10.585
Cd 5.896 -0.886 7.307
Cd -1.654 4.793 10.585
Cd -5.318 0.137 10.282
Cd 3.132 1.409 4.117
Cd -5.896 3.907 9.051
Cd 4.997 2.068 7.070
Cd -4.997 5.589 11.491
! **Energy relative to the elements**: 5.6 kcal/mol of atoms
! **SG**: Ia-3d, No. 230
! **Crystal system**: cubic

! PBE Sb2H2Au, optimized geometry; values from VASP
&SYSTEM
  ibrav = 0, nat = 5, ntyp = 3
/
ATOMIC_SPECIES
Sb 121.76 Sb.upf
Au 196.97 Au.upf
H 1.01 H.upf
CELL_PARAMETERS angstrom
-0.328 3.456 -0.482
-1.714 0.262 3.046
4.588 2.820 4.356
ATOMIC_POSITIONS angstrom
Sb 0.494 2.119 2.112
Sb 2.052 4.420 4.807
Au 0.000 0.000 0.000
H 1.620 4.068 2.578
H 0.926 2.471 4.342
! **SG**: I4/mmm, No. 139
! **E above lowest polymorph**: 357 meV/atom
! **Crystal system**: tetragonal

! PBE Sc2Cd2Ge, optimized geometry; values from VASP
&SYSTEM
  ibrav = 0, nat = 10, ntyp = 3
/
ATOMIC_SPECIES
Sc 44.96 Sc.upf
Ge 72.64 Ge.upf
Cd 112.41 Cd.upf
CELL_PARAMETERS angstrom
7.124 0.000 0.000
0.000 7.124 0.000
0.000 0.000 4.608
ATOMIC_POSITIONS angstrom
Sc 2.436 5.998 0.000
Sc 5.998 4.688 0.000
Sc 4.688 1.126 0.000
Sc 1.126 2.436 0.000
Ge 0.000 0.000 0.000
Ge 3.562 3.562 0.000
Cd 1.056 4.618 2.304
Cd 4.618 6.067 2.304
Cd 6.067 2.506 2.304
Cd 2.506 1.056 2.304
! **Energy relative to the elements**: -3.8 kcal/mol of atoms
! **SG**: P4/mbm, No. 127
! **E above lowest polymorph**: 13 meV/atom
! **Crystal system**: tetragonal

! PBE TaP2PdCl, optimized geometry; values from VASP
&SYSTEM
  ibrav = 0, nat = 5, ntyp = 4
/
ATOMIC_SPECIES
P 30.97 P.upf
Cl 35.45 Cl.upf
Pd 106.42 Pd.upf
Ta 180.95 Ta.upf
CELL_PARAMETERS angstrom
-1.031 0.305 4.714
-4.463 -1.643 -0.870
1.518 -4.452 0.620
ATOMIC_POSITIONS angstrom
P -2.231 -0.821 -0.435
P -0.516 0.152 2.357
Cl 0.759 -2.226 0.310
Pd -1.988 -2.895 2.232
Ta 0.000 0.000 0.000
! **Energy relative to the elements, uncorrected**: 0.341 eV/atom
! **SG**: P4/mmm, No. 123
! **E above lowest polymorph**: 0 meV/atom
! **Crystal system**: tetragonal

! PBE K3PmHo2O6, optimized geometry; values from VASP
&SYSTEM
  ibrav = 0, nat = 12, ntyp = 4
/
ATOMIC_SPECIES
K 39.10 K.upf
Pm 145.00 Pm.upf
Ho 164.93 Ho.upf
O 16.00 O.upf
CELL_PARAMETERS angstrom
6.085 -0.001 0.001
-3.042 5.271 0.001
-1.015 -1.757 6.273
ATOMIC_POSITIONS angstrom
K -2.016 3.507 3.137
K 4.045 0.006 3.137
K 1.015 1.757 3.137
Pm 0.000 0.000 0.000
Ho 0.001 3.513 0.001
Ho 3.043 1.756 0.001
O 3.071 1.707 5.107
O 2.000 3.464 1.170
O -1.042 1.806 1.167
O -0.056 3.514 5.107
O 0.029 0.050 5.105
O 2.085 0.000 1.167
! **Energy relative to the elements, uncorrected**: -2.733 eV/atom
! **SG**: C2/m, No. 12
! **Crystal system**: monoclinic

We obtain magnetization values of 0.00, 0.00, 0.00, 0.00, 0.00, 0.00 μB per formula unit for the records listed above, in that order.